Record 1
DFT (PBE) results for a geometry-optimized LiTb3Nd3S8 structure.

Summary:
Formation energy from raw total energies: -1990 meV per atom
Total energy: -92.98 eV per cell

Unit cell a=7.9168 b=7.9172 c=7.9629 alpha=119.81 beta=90.00 gamma=120.00
Closest atoms and distances in Å follow each position.
Fractional coordinates of all 15 atoms:
1 Li 0.0000 0.0000 0.5000  6 S 2.74
2 Tb 0.5000 0.0000 0.5000  6 S 2.77
3 Tb 0.5000 0.5000 0.5000  6 S 2.77
4 Tb 0.0000 0.5000 0.5000  6 S 2.77
5 Nd 0.0000 0.0000 0.0000  6 S 2.85
6 Nd 0.0000 0.5000 0.0000  6 S 2.85
7 Nd 0.5000 0.5000 0.0000  6 S 2.85
8 S 0.2537 0.5073 0.2610  3 Tb 2.77, 3 Nd 2.85
9 S 0.7463 0.4927 0.7390  3 Tb 2.77, 3 Nd 2.85
10 S 0.7563 0.5127 0.2638  1 Li 2.74, 2 Tb 2.77, 2 Nd 2.85
11 S 0.2437 0.4873 0.7362  1 Li 2.74, 2 Tb 2.77, 2 Nd 2.85
12 S 0.7563 0.0075 0.2638  1 Li 2.74, 2 Tb 2.77, 2 Nd 2.85
13 S 0.2437 0.9925 0.7362  1 Li 2.74, 2 Tb 2.77, 2 Nd 2.85
14 S 0.2512 0.0075 0.2638  1 Li 2.74, 2 Tb 2.77, 2 Nd 2.85
15 S 0.7488 0.9925 0.7362  1 Li 2.74, 2 Tb 2.77, 2 Nd 2.85

Record 2
DFT (PBE) results for a geometry-optimized LiTb2NdS4 structure.

Summary:
Formation energy from raw total energies: -1931 meV per atom
Total energy: -47.90 eV per cell

Unit cell a=3.9414 b=6.8415 c=6.8514 alpha=109.31 beta=90.00 gamma=90.00
Closest atoms and distances in Å follow each position.
Fractional coordinates of all 8 atoms:
1 Li 0.5000 0.5000 0.0000  6 S 2.76-2.78
2 Tb 0.5000 0.0000 0.5000  6 S 2.80-2.83
3 Tb 0.0000 0.5000 0.5000  6 S 2.75
4 Nd 0.0000 0.0000 0.0000  6 S 2.84
5 S 0.5000 0.2610 0.2549  3 Tb 2.75-2.83, 1 Li 2.76, 2 Nd 2.84
6 S 0.5000 0.7390 0.7451  3 Tb 2.75-2.83, 1 Li 2.76, 2 Nd 2.84
7 S 0.0000 0.2558 0.7480  3 Tb 2.75-2.80, 2 Li 2.78, 1 Nd 2.84
8 S 0.0000 0.7442 0.2520  3 Tb 2.75-2.80, 2 Li 2.78, 1 Nd 2.84

Record 3
DFT (PBE) results for a geometry-optimized LiTb3Nd4S8 structure.

Summary:
Formation energy from raw total energies: -1972 meV per atom
Total energy: -99.44 eV per cell

Unit cell a=7.9443 b=8.0017 c=7.9446 alpha=119.76 beta=120.00 gamma=90.00
Closest atoms and distances in Å follow each position.
Fractional coordinates of all 16 atoms:
1 Li 0.0000 0.5000 0.0000  6 S 2.73
2 Tb 0.5000 0.5000 0.0000  6 S 2.77
3 Tb 0.5000 0.5000 0.5000  6 S 2.77
4 Tb 0.0000 0.5000 0.5000  6 S 2.77
5 Nd 0.5000 0.0000 0.0000  6 S 2.91
6 Nd 0.5000 0.0000 0.5000  6 S 2.87
7 Nd 0.0000 0.0000 0.0000  6 S 2.87
8 Nd 0.0000 0.0000 0.5000  6 S 2.87
9 S 0.2417 0.7331 0.9914  1 Li 2.73, 2 Tb 2.77, 3 Nd 2.87-2.91
10 S 0.2418 0.7332 0.4837  1 Li 2.73, 2 Tb 2.77, 3 Nd 2.87-2.91
11 S 0.2544 0.2631 0.5087  3 Tb 2.77, 3 Nd 2.87
12 S 0.7496 0.7331 0.9914  1 Li 2.73, 2 Tb 2.77, 3 Nd 2.87-2.91
13 S 0.2504 0.2669 0.0086  1 Li 2.73, 2 Tb 2.77, 3 Nd 2.87-2.91
14 S 0.7456 0.7369 0.4913  3 Tb 2.77, 3 Nd 2.87
15 S 0.7582 0.2668 0.5163  1 Li 2.73, 2 Tb 2.77, 3 Nd 2.87-2.91
16 S 0.7583 0.2669 0.0086  1 Li 2.73, 2 Tb 2.77, 3 Nd 2.87-2.91

Record 4
DFT (PBE) results for a geometry-optimized LiNd3Th2S6 structure.

Summary:
Formation energy from raw total energies: -1884 meV per atom
Total energy: -78.43 eV per cell

Unit cell a=6.9857 b=6.9857 c=6.9645 alpha=99.68 beta=99.68 gamma=120.30
Closest atoms and distances in Å follow each position.
Fractional coordinates of all 12 atoms:
1 Li 0.0000 0.0000 0.0000  6 S 2.73-2.74
2 Nd 0.1668 0.8332 0.5000  6 S 2.85-2.94
3 Nd 0.8332 0.1668 0.5000  6 S 2.85-2.94
4 Nd 0.5000 0.5000 0.5000  6 S 2.86-2.96
5 Th 0.3340 0.6660 0.0000  6 S 2.83-2.84
6 Th 0.6660 0.3340 0.0000  6 S 2.83-2.84
7 S 0.9208 0.5980 0.7606  1 Li 2.74, 2 Th 2.84, 3 Nd 2.85-2.94
8 S 0.7585 0.7585 0.2388  1 Li 2.73, 2 Th 2.83, 3 Nd 2.86-2.96
9 S 0.0792 0.4020 0.2394  1 Li 2.74, 2 Th 2.84, 3 Nd 2.85-2.94
10 S 0.5980 0.9208 0.7606  1 Li 2.74, 2 Th 2.84, 3 Nd 2.85-2.94
11 S 0.2415 0.2415 0.7612  1 Li 2.73, 2 Th 2.83, 3 Nd 2.86-2.96
12 S 0.4020 0.0792 0.2394  1 Li 2.74, 2 Th 2.84, 3 Nd 2.85-2.94